[1]
## LiCa2Co (GGA-PBE)

Data for a geometry-optimized LiCa2Co structure.

The structure in CIF format:
```
data_LiCa2Co
_chemical_formula_sum 'Li2 Ca4 Co2'
_space_group_name_H-M_alt 'I -4 m 2'
_space_group_IT_number 119
_space_group_name_Hall 'I -4 -2'
_cell_length_a 4.360
_cell_length_b 4.360
_cell_length_c 10.039
_cell_angle_alpha 90.00
_cell_angle_beta 90.00
_cell_angle_gamma 90.00
loop_
_atom_site_label
_atom_site_type_symbol
_atom_site_fract_x
_atom_site_fract_y
_atom_site_fract_z
Li1 Li 0.000 0.000 0.000
Ca1 Ca 0.000 0.000 0.500
Ca2 Ca 0.000 0.500 0.750
Co1 Co 0.000 0.500 0.250
```

Values from the calculation:
**DFT formation energy**: 0.37 eV per atom
**DOS(E_F)**: 4.93 states/eV/f.u.
**Magnetization**: 1.41 μB/cell
**VASP energy**: -0.2117 Ry per atom
**Crystal system**: tetragonal


[2]
## ErCd2In3 (GGA-PBE)

Data for a geometry-optimized ErCd2In3 structure.

The structure in CIF format:
```
data_ErCd2In3
_chemical_formula_sum 'Er2 Cd4 In6'
_space_group_name_H-M_alt 'C m m m'
_space_group_IT_number 65
_space_group_name_Hall '-C 2 2'
_cell_length_a 4.604
_cell_length_b 13.874
_cell_length_c 4.547
_cell_angle_alpha 90.00
_cell_angle_beta 90.00
_cell_angle_gamma 90.00
loop_
_atom_site_label
_atom_site_type_symbol
_atom_site_fract_x
_atom_site_fract_y
_atom_site_fract_z
Er1 Er 0.000 0.000 0.000
Cd1 Cd 0.000 0.330 0.000
In1 In 0.000 0.169 0.500
In2 In 0.000 0.500 0.500
```

Values from the calculation:
**DFT formation energy**: -0.21 eV per atom
**DOS(E_F)**: 2.24 states/eV/f.u.
**Magnetization**: 0.00 μB/cell
**VASP energy**: -0.1941 Ry per atom
**Crystal system**: orthorhombic


[3]
## NaDyHo (GGA-PBE)

Data for a geometry-optimized NaDyHo structure.

The structure in CIF format:
```
data_NaDyHo
_chemical_formula_sum 'Na1 Dy1 Ho1'
_space_group_name_H-M_alt 'P 3 m 1'
_space_group_IT_number 156
_cell_length_a 3.5188
_cell_length_b 3.5188
_cell_length_c 9.1222
_cell_angle_alpha 90.00
_cell_angle_beta 90.00
_cell_angle_gamma 120.00
loop_
_space_group_symop_operation_xyz
'x,y,z'
'-y,x-y,z'
'-x+y,-x,z'
'-y,-x,z'
'-x+y,y,z'
'x,x-y,z'
loop_
_atom_site_label
_atom_site_type_symbol
_atom_site_fract_x
_atom_site_fract_y
_atom_site_fract_z
Na1 Na 0.0000 0.0000 0.0000
Dy1 Dy 0.3333 0.6667 0.6493
Ho1 Ho 0.6667 0.3333 0.3497
```

Values from the calculation:
**Energy above the lowest structure with this stoichiometry**: 0.00 kcal/mol of atoms
**DFT formation energy**: 0.14 eV per atom
**DOS(E_F)**: 4.29 states/eV/f.u.
**Magnetization**: 0.00 μB/cell
**VASP energy**: -0.2467 Ry per atom
**Crystal system**: trigonal


[4]
## Er2ScCu3 (GGA-PBE)

Data for a geometry-optimized Er2ScCu3 structure.

The structure in CIF format:
```
data_Er2ScCu3
_chemical_formula_sum 'Er2 Sc1 Cu3'
_space_group_name_H-M_alt 'P 4/m m m'
_space_group_IT_number 123
_space_group_name_Hall '-P 4 2'
_cell_length_a 3.367
_cell_length_b 3.367
_cell_length_c 10.180
_cell_angle_alpha 90.00
_cell_angle_beta 90.00
_cell_angle_gamma 90.00
loop_
_atom_site_label
_atom_site_type_symbol
_atom_site_fract_x
_atom_site_fract_y
_atom_site_fract_z
Er1 Er 0.000 0.000 0.172
Sc1 Sc 0.000 0.000 0.500
Cu1 Cu 0.500 0.500 0.000
Cu2 Cu 0.500 0.500 0.350
```

Values from the calculation:
**DFT formation energy**: -0.27 eV per atom
**DOS(E_F)**: 2.82 states/eV/f.u.
**Magnetization**: 0.00 μB/cell
**VASP energy**: -0.3599 Ry per atom
**Crystal system**: tetragonal


[5]
## KCoB3 (GGA-PBE)

Data for a geometry-optimized KCoB3 structure.

The structure in CIF format:
```
data_KCoB3
_chemical_formula_sum 'K1 Co1 B3'
_space_group_name_H-M_alt 'P m -3 m'
_space_group_IT_number 221
_space_group_name_Hall '-P 4 2 3'
_cell_length_a 3.939
_cell_length_b 3.939
_cell_length_c 3.939
_cell_angle_alpha 90.00
_cell_angle_beta 90.00
_cell_angle_gamma 90.00
loop_
_atom_site_label
_atom_site_type_symbol
_atom_site_fract_x
_atom_site_fract_y
_atom_site_fract_z
K1 K 0.000 0.000 0.000
Co1 Co 0.500 0.500 0.500
B1 B 0.000 0.500 0.500
```

Values from the calculation:
**Energy above the lowest structure with this stoichiometry**: 0.00 kcal/mol of atoms
**DFT formation energy**: 0.88 eV per atom
**DOS(E_F)**: 4.31 states/eV/f.u.
**Magnetization**: 0.00 μB/cell
**VASP energy**: -0.3503 Ry per atom
**Crystal system**: cubic


[6]
## Zr2CoRh2 (GGA-PBE)

Data for a geometry-optimized Zr2CoRh2 structure.

The structure in CIF format:
```
data_Zr2CoRh2
_chemical_formula_sum 'Zr4 Co2 Rh4'
_space_group_name_H-M_alt 'P 4/m b m'
_space_group_IT_number 127
_space_group_name_Hall '-P 4 2ab'
_cell_length_a 6.683
_cell_length_b 6.683
_cell_length_c 3.890
_cell_angle_alpha 90.00
_cell_angle_beta 90.00
_cell_angle_gamma 90.00
loop_
_atom_site_label
_atom_site_type_symbol
_atom_site_fract_x
_atom_site_fract_y
_atom_site_fract_z
Zr1 Zr 0.175 0.325 0.000
Co1 Co 0.000 0.000 0.500
Rh1 Rh 0.137 0.637 0.500
```

Values from the calculation:
**DFT formation energy**: -0.40 eV per atom
**DOS(E_F)**: 5.38 states/eV/f.u.
**Magnetization**: 1.59 μB/cell
**VASP energy**: -0.6015 Ry per atom
**Crystal system**: tetragonal


[7]
## SrPd3Pb (GGA-PBE)

Data for a geometry-optimized SrPd3Pb structure.

The structure in CIF format:
```
data_SrPd3Pb
_chemical_formula_sum 'Sr4 Pd12 Pb4'
_space_group_name_H-M_alt 'I m m a'
_space_group_IT_number 74
_space_group_name_Hall '-I 2b 2'
_cell_length_a 5.701
_cell_length_b 8.933
_cell_length_c 9.285
_cell_angle_alpha 90.00
_cell_angle_beta 90.00
_cell_angle_gamma 90.00
loop_
_atom_site_label
_atom_site_type_symbol
_atom_site_fract_x
_atom_site_fract_y
_atom_site_fract_z
Sr1 Sr 0.000 0.250 0.028
Pd1 Pd 0.000 0.250 0.675
Pd2 Pd 0.250 0.005 0.250
Pb1 Pb 0.000 0.000 0.500
```

Values from the calculation:
**Energy above the lowest structure with this stoichiometry**: 0.00 kcal/mol of atoms
**DFT formation energy**: -0.42 eV per atom
**DOS(E_F)**: 1.98 states/eV/f.u.
**Magnetization**: 0.00 μB/cell
**VASP energy**: -0.3390 Ry per atom
**Crystal system**: orthorhombic


[8]
## Cs2NaRuBr6 (GGA-PBE)

Data for a geometry-optimized Cs2NaRuBr6 structure.

The structure in CIF format:
```
data_Cs2NaRuBr6
_chemical_formula_sum 'Cs8 Na4 Ru4 Br24'
_space_group_name_H-M_alt 'F m -3 m'
_space_group_IT_number 225
_space_group_name_Hall '-F 4 2 3'
_cell_length_a 11.033
_cell_length_b 11.033
_cell_length_c 11.033
_cell_angle_alpha 90.00
_cell_angle_beta 90.00
_cell_angle_gamma 90.00
loop_
_atom_site_label
_atom_site_type_symbol
_atom_site_fract_x
_atom_site_fract_y
_atom_site_fract_z
Cs1 Cs 0.250 0.250 0.250
Na1 Na 0.000 0.000 0.000
Ru1 Ru 0.000 0.000 0.500
Br1 Br 0.000 0.000 0.270
```

Values from the calculation:
**DOS(E_F)**: 9.20 states/eV/f.u.
**Energy relative to the elements, uncorrected**: -25.72 kcal/mol of atoms
**Magnetization**: 4.00 μB/cell
**VASP energy**: -0.2462 Ry per atom
**Crystal system**: cubic